First-principles (GGA-PBE) data for a relaxed TaPPt2 crystal, as listed in the Alexandria database.

Computed properties:
Volume, Å³/atom: 15.8
Crystal system: monoclinic
Space group: P2/m, No. 10
Energy relative to the elements, eV per atom: -0.431

Unit cell a=3.147 b=4.018 c=5.214 alpha=90.00 beta=106.05 gamma=90.00
Element x y z (fractional)
Ta  0.000  0.000  0.000
P  0.000  0.000  0.500
Pt  0.367  0.500  0.736
Pt  0.633  0.500  0.264

---

First-principles (GGA-PBE) data for a relaxed TaPPt2 crystal, as listed in the Alexandria database.

Computed properties:
Volume, Å³/atom: 15.7
Crystal system: cubic
Space group: F-43m, No. 216
Energy relative to the elements, eV per atom: -0.293

Unit cell a=4.457 b=4.457 c=4.457 alpha=60.00 beta=60.00 gamma=60.00
Element x y z (fractional)
Ta  0.000  0.000  0.000
P  0.750  0.750  0.750
Pt  0.250  0.250  0.250
Pt  0.500  0.500  0.500

---

First-principles (GGA-PBE) data for a relaxed Ta2PPt crystal, as listed in the Alexandria database.

Computed properties:
Volume, Å³/atom: 15.9
Crystal system: orthorhombic
Space group: Imm2, No. 44
Energy relative to the elements, eV per atom: -0.454

Unit cell a=5.315 b=5.315 c=5.315 alpha=145.65 beta=130.58 gamma=61.57
Element x y z (fractional)
Ta  0.000  0.000  0.000
Ta  0.707  0.207  0.500
P  0.487  0.487  0.000
Pt  0.274  0.774  0.500

---

First-principles (GGA-PBE) data for a relaxed TaPPt2 crystal, as listed in the Alexandria database.

Computed properties:
Volume, Å³/atom: 16.1
Crystal system: tetragonal
Space group: P4/mmm, No. 123
Energy relative to the elements, eV per atom: -0.418

Unit cell a=3.514 b=3.514 c=5.229 alpha=90.00 beta=90.00 gamma=90.00
Element x y z (fractional)
Ta  0.000  0.000  0.000
P  0.000  0.000  0.500
Pt  0.500  0.500  0.249
Pt  0.500  0.500  0.751

---

First-principles (GGA-PBE) data for a relaxed Ta2PPt crystal, as listed in the Alexandria database.

Computed properties:
Volume, Å³/atom: 15.7
Crystal system: tetragonal
Space group: P4/mmm, No. 123
Energy relative to the elements, eV per atom: -0.546

Unit cell a=2.988 b=2.988 c=7.033 alpha=90.00 beta=90.00 gamma=90.00
Element x y z (fractional)
Ta  0.000  0.000  0.218
Ta  0.000  0.000  0.782
P  0.500  0.500  0.000
Pt  0.500  0.500  0.500

---

First-principles (GGA-PBE) data for a relaxed TaPPt2 crystal, as listed in the Alexandria database.

Computed properties:
Volume, Å³/atom: 15.6
Crystal system: tetragonal
Space group: I4/mmm, No. 139
Energy relative to the elements, eV per atom: -0.330

Unit cell a=5.079 b=5.079 c=5.079 alpha=135.99 beta=135.99 gamma=63.99
Element x y z (fractional)
Ta  0.000  0.000  0.000
P  0.500  0.500  0.000
Pt  0.250  0.750  0.500
Pt  0.750  0.250  0.500

---

First-principles (GGA-PBE) data for a relaxed TaP4Pt crystal, as listed in the Alexandria database.

Computed properties:
Volume, Å³/atom: 14.6
Crystal system: cubic
Space group: F-43m, No. 216
Energy relative to the elements, eV per atom: 0.472

Unit cell a=4.981 b=4.981 c=4.981 alpha=60.00 beta=60.00 gamma=60.00
Element x y z (fractional)
Ta  0.000  0.000  0.000
P  0.127  0.624  0.624
P  0.624  0.127  0.624
P  0.624  0.624  0.127
P  0.624  0.624  0.624
Pt  0.250  0.250  0.250

---

First-principles (GGA-PBE) data for a relaxed Ta2PPt crystal, as listed in the Alexandria database.

Computed properties:
Volume, Å³/atom: 16.5
Crystal system: cubic
Space group: F-43m, No. 216
Energy relative to the elements, eV per atom: 0.163

Unit cell a=4.532 b=4.532 c=4.532 alpha=60.00 beta=60.00 gamma=60.00
Element x y z (fractional)
Ta  0.000  0.000  0.000
Ta  0.250  0.250  0.250
P  0.500  0.500  0.500
Pt  0.750  0.750  0.750

---

First-principles (GGA-PBE) data for a relaxed Ta2PPt crystal, as listed in the Alexandria database.

Computed properties:
Volume, Å³/atom: 16.1
Crystal system: monoclinic
Space group: Cm, No. 8
Energy relative to the elements, eV per atom: -0.442

Unit cell a=4.994 b=4.994 c=4.657 alpha=108.89 beta=108.89 gamma=36.25
Element x y z (fractional)
Ta  0.000  0.000  0.000
Ta  0.205  0.205  0.637
P  0.480  0.480  0.529
Pt  0.757  0.757  0.176

---

First-principles (GGA-PBE) data for a relaxed TaPPt2 crystal, as listed in the Alexandria database.

Computed properties:
Volume, Å³/atom: 15.7
Crystal system: orthorhombic
Space group: Imm2, No. 44
Energy relative to the elements, eV per atom: -0.466

Unit cell a=4.787 b=4.787 c=4.787 alpha=135.33 beta=123.32 gamma=74.91
Element x y z (fractional)
Ta  0.000  0.000  0.000
P  0.773  0.273  0.500
Pt  0.301  0.801  0.500
Pt  0.581  0.581  0.000

---

First-principles (GGA-PBE) data for a relaxed Ta2PPt crystal, as listed in the Alexandria database.

Computed properties:
Volume, Å³/atom: 16.1
Crystal system: orthorhombic
Space group: Pmmm, No. 47
Energy relative to the elements, eV per atom: -0.322

Unit cell a=3.053 b=3.754 c=5.611 alpha=90.00 beta=90.00 gamma=90.00
Element x y z (fractional)
Ta  0.000  0.000  0.240
Ta  0.000  0.000  0.760
P  0.500  0.500  0.000
Pt  0.500  0.500  0.500

---

First-principles (GGA-PBE) data for a relaxed Ta2PPt crystal, as listed in the Alexandria database.

Computed properties:
Volume, Å³/atom: 16.2
Crystal system: tetragonal
Space group: I-4m2, No. 119
Energy relative to the elements, eV per atom: -0.229

Unit cell a=5.213 b=5.213 c=5.213 alpha=137.09 beta=137.09 gamma=62.30
Element x y z (fractional)
Ta  0.000  0.000  0.000
Ta  0.750  0.250  0.500
P  0.250  0.750  0.500
Pt  0.500  0.500  0.000

---

First-principles (GGA-PBE) data for a relaxed TaPPt crystal, as listed in the Alexandria database.

Computed properties:
Volume, Å³/atom: 15.8
Crystal system: trigonal
Space group: P3m1, No. 156
Energy relative to the elements, eV per atom: -0.176

Unit cell a=2.920 b=2.920 c=6.428 alpha=90.00 beta=90.00 gamma=120.00
Element x y z (fractional)
Ta  0.000  0.000  0.000
P  0.667  0.333  0.321
Pt  0.333  0.667  0.655

---

First-principles (GGA-PBE) data for a relaxed Ta2PPt crystal, as listed in the Alexandria database.

Computed properties:
Volume, Å³/atom: 16.5
Crystal system: tetragonal
Space group: P4mm, No. 99
Energy relative to the elements, eV per atom: -0.168

Unit cell a=2.889 b=2.889 c=7.898 alpha=90.00 beta=90.00 gamma=90.00
Element x y z (fractional)
Ta  0.000  0.000  0.000
Ta  0.500  0.500  0.282
P  0.000  0.000  0.511
Pt  0.500  0.500  0.751

---

First-principles (GGA-PBE) data for a relaxed TaPPt2 crystal, as listed in the Alexandria database.

Computed properties:
Volume, Å³/atom: 19.5
Crystal system: tetragonal
Space group: I-42d, No. 122
Energy relative to the elements, eV per atom: -0.126

Unit cell a=7.884 b=7.884 c=7.884 alpha=145.58 beta=145.58 gamma=49.47
Element x y z (fractional)
Ta  0.000  0.000  0.000
Ta  0.750  0.250  0.500
P  0.250  0.750  0.500
P  0.500  0.500  0.000
Pt  0.189  0.625  0.064
Pt  0.375  0.439  0.564
Pt  0.561  0.125  0.936
Pt  0.875  0.811  0.436

---

First-principles (GGA-PBE) data for a relaxed TaPPt2 crystal, as listed in the Alexandria database.

Computed properties:
Volume, Å³/atom: 15.9
Crystal system: tetragonal
Space group: P4/mmm, No. 123
Energy relative to the elements, eV per atom: -0.280

Unit cell a=2.901 b=2.901 c=7.542 alpha=90.00 beta=90.00 gamma=90.00
Element x y z (fractional)
Ta  0.000  0.000  0.000
P  0.000  0.000  0.500
Pt  0.500  0.500  0.257
Pt  0.500  0.500  0.743

---

First-principles (GGA-PBE) data for a relaxed Ta3PPt crystal, as listed in the Alexandria database.

Computed properties:
Volume, Å³/atom: 18.7
Crystal system: cubic
Offset from the most stable computed form, meV/atom: 0
Space group: Pm-3m, No. 221
Energy relative to the elements, eV per atom: 0.251

Unit cell a=4.537 b=4.537 c=4.537 alpha=90.00 beta=90.00 gamma=90.00
Element x y z (fractional)
Ta  0.000  0.000  0.500
Ta  0.000  0.500  0.000
Ta  0.500  0.000  0.000
P  0.000  0.000  0.000
Pt  0.500  0.500  0.500

---

First-principles (GGA-PBE) data for a relaxed Ta2PPt crystal, as listed in the Alexandria database.

Computed properties:
Volume, Å³/atom: 17.2
Crystal system: tetragonal
Space group: I-42d, No. 122
Energy relative to the elements, eV per atom: -0.275

Unit cell a=5.682 b=5.682 c=5.682 alpha=104.46 beta=104.46 gamma=120.03
Element x y z (fractional)
Ta  0.103  0.625  0.978
Ta  0.375  0.353  0.478
Ta  0.647  0.125  0.022
Ta  0.875  0.897  0.522
P  0.000  0.000  0.000
P  0.750  0.250  0.500
Pt  0.250  0.750  0.500
Pt  0.500  0.500  0.000

---

First-principles (GGA-PBE) data for a relaxed TaPPt crystal, as listed in the Alexandria database.

Computed properties:
Volume, Å³/atom: 15.5
Crystal system: orthorhombic
Space group: Imm2, No. 44
Energy relative to the elements, eV per atom: -0.393

Unit cell a=5.462 b=5.462 c=5.462 alpha=149.93 beta=145.07 gamma=46.74
Element x y z (fractional)
Ta  0.000  0.000  0.000
P  0.357  0.357  0.000
Pt  0.685  0.685  0.000

---

First-principles (GGA-PBE) data for a relaxed Ta2PPt crystal, as listed in the Alexandria database.

Computed properties:
Volume, Å³/atom: 16.6
Crystal system: tetragonal
Space group: P4mm, No. 99
Energy relative to the elements, eV per atom: -0.434

Unit cell a=3.378 b=3.378 c=5.829 alpha=90.00 beta=90.00 gamma=90.00
Element x y z (fractional)
Ta  0.000  0.000  0.000
Ta  0.500  0.500  0.312
P  0.000  0.000  0.485
Pt  0.500  0.500  0.795